# 1
Density functional theory data (GGA-PBE) for a relaxed structure of TaMnSb2.

abc: 3.540 3.540 6.316
angles: 90.00 90.00 90.00
Site moments in Bohr magnetons follow the coordinates.
Sites, in units of the cell vectors:
Mn 0.500 0.500 0.750  3.55
Sb 0.000 0.000 0.000  -0.05
Sb 0.000 0.000 0.500  -0.05
Ta 0.500 0.500 0.250  0.00

Computed properties:
E_form (uncorrected) = 0.92 eV/f.u.

***

# 2
Density functional theory data (GGA-PBE) for a relaxed structure of ErSc5Ni6.

abc: 4.551 6.323 7.194
angles: 90.00 71.56 90.00
Sites, in units of the cell vectors:
Sc 0.666 0.500 0.667
Sc 0.331 0.000 0.338
Sc 0.000 0.500 0.000
Sc 0.669 0.000 0.662
Sc 0.334 0.500 0.333
Ni 0.829 0.745 0.342
Ni 0.829 0.255 0.342
Ni 0.500 0.262 0.000
Ni 0.500 0.738 0.000
Ni 0.171 0.745 0.658
Ni 0.171 0.255 0.658
Er 0.000 0.000 0.000

Computed properties:
Total energy = -6.393 eV/atom